(1)
Below is crystalline Cs2TiGe3O9 at its relaxed geometry, with properties calculated at the GGA-PBE level.

ΔE_f (raw): -195.1 kJ per mole of atoms

Structure (CIF):
```
data_Cs2TiGe3O9
_chemical_formula_sum 'Cs4 Ti2 Ge6 O18'
_symmetry_space_group_name_H-M 'P 63/m'
_symmetry_Int_Tables_number 176
_symmetry_space_group_name_Hall '-P 6c'
_cell_length_a 7.3163
_cell_length_b 7.3163
_cell_length_c 10.5430
_cell_angle_alpha 90.00
_cell_angle_beta 90.00
_cell_angle_gamma 120.00
loop_
_atom_site_label
_atom_site_fract_x
_atom_site_fract_y
_atom_site_fract_z
Cs1 0.3333 0.6667 0.0587
Ti1 0.0000 0.0000 0.0000
Ge1 0.1424 0.3697 0.7500
O1 0.0380 0.2387 0.6074
O2 0.0707 0.5748 0.7500
```

---

(2)
Below is crystalline Cs2TlGe2O6 at its relaxed geometry, with properties calculated at the GGA-PBE level.

ΔE_f (raw): -127.0 kJ per mole of atoms

Structure (CIF):
```
data_Cs2TlGe2O6
_chemical_formula_sum 'Cs6 Tl3 Ge6 O18'
_symmetry_space_group_name_H-M 'R -3 m'
_symmetry_Int_Tables_number 166
_symmetry_space_group_name_Hall '-R 3 2"'
_cell_length_a 6.3071
_cell_length_b 6.3071
_cell_length_c 19.9048
_cell_angle_alpha 90.00
_cell_angle_beta 90.00
_cell_angle_gamma 120.00
loop_
_atom_site_label
_atom_site_fract_x
_atom_site_fract_y
_atom_site_fract_z
Cs1 0.0000 0.0000 0.2085
Tl1 0.0000 0.0000 0.0000
Ge1 0.0000 0.0000 0.4102
O1 0.0177 0.5089 0.2556
```

---

(3)
Below is crystalline CsTlGeO3 at its relaxed geometry, with properties calculated at the GGA-PBE level.

ΔE_f (raw): -137.4 kJ per mole of atoms

Structure (CIF):
```
data_CsTlGeO3
_chemical_formula_sum 'Cs4 Tl4 Ge4 O12'
_symmetry_space_group_name_H-M 'C 1 2/c 1'
_symmetry_Int_Tables_number 15
_symmetry_space_group_name_Hall '-C 2yc'
_cell_length_a 8.598
_cell_length_b 14.588
_cell_length_c 5.352
_cell_angle_alpha 90.00
_cell_angle_beta 127.92
_cell_angle_gamma 90.00
loop_
_atom_site_label
_atom_site_fract_x
_atom_site_fract_y
_atom_site_fract_z
Cs1 0.000 0.122 0.250
Tl1 0.000 0.316 0.750
Ge1 0.000 0.461 0.250
O1 0.000 0.340 0.250
O2 0.167 0.467 0.734
```

---

(4)
Below is crystalline Cs2TlGeO4 at its relaxed geometry, with properties calculated at the GGA-PBE level.

ΔE_f (raw): -133.1 kJ per mole of atoms

Structure (CIF):
```
data_Cs2TlGeO4
_chemical_formula_sum 'Cs4 Tl2 Ge2 O8'
_symmetry_space_group_name_H-M 'I -4'
_symmetry_Int_Tables_number 82
_symmetry_space_group_name_Hall 'I -4'
_cell_length_a 6.440
_cell_length_b 6.440
_cell_length_c 8.524
_cell_angle_alpha 90.00
_cell_angle_beta 90.00
_cell_angle_gamma 90.00
loop_
_atom_site_label
_atom_site_fract_x
_atom_site_fract_y
_atom_site_fract_z
Cs1 0.000 0.000 0.000
Cs2 0.000 0.500 0.250
Tl1 0.000 0.000 0.500
Ge1 0.000 0.500 0.750
O1 0.125 0.700 0.636
```

---

(5)
Below is crystalline CsTlGeO4 at its relaxed geometry, with properties calculated at the GGA-PBE level.

ΔE_f (raw): -128.2 kJ per mole of atoms

Structure (CIF):
```
data_CsTlGeO4
_chemical_formula_sum 'Cs2 Tl2 Ge2 O8'
_symmetry_space_group_name_H-M 'P 1 21/m 1'
_symmetry_Int_Tables_number 11
_symmetry_space_group_name_Hall '-P 2yb'
_cell_length_a 5.793
_cell_length_b 6.059
_cell_length_c 8.093
_cell_angle_alpha 90.00
_cell_angle_beta 108.09
_cell_angle_gamma 90.00
loop_
_atom_site_label
_atom_site_fract_x
_atom_site_fract_y
_atom_site_fract_z
Cs1 0.201 0.250 0.435
Tl1 0.301 0.250 0.957
Ge1 0.239 0.750 0.148
O1 0.016 0.750 0.940
O2 0.065 0.750 0.293
O3 0.457 0.529 0.167
```

---

(6)
Below is crystalline Cs2TmGeO4 at its relaxed geometry, with properties calculated at the GGA-PBE level.

ΔE_f (raw): -180.3 kJ per mole of atoms

Structure (CIF):
```
data_Cs2TmGeO4
_chemical_formula_sum 'Cs16 Tm8 Ge8 O32'
_symmetry_space_group_name_H-M 'F d d d'
_symmetry_Int_Tables_number 70
_cell_length_a 5.701
_cell_length_b 13.414
_cell_length_c 24.261
_cell_angle_alpha 90.00
_cell_angle_beta 90.00
_cell_angle_gamma 90.00
loop_
_symmetry_equiv_pos_as_xyz
'x,y,z'
'-x,-y,-z'
'-x+1/4,-y+1/4,z'
'x+1/4,y+1/4,-z'
'x,-y+1/4,-z+1/4'
'-x,y+1/4,z+1/4'
'-x+1/4,y,-z+1/4'
'x+1/4,-y,z+1/4'
'x,y+1/2,z+1/2'
'-x,-y+1/2,-z+1/2'
'-x+1/4,-y+3/4,z+1/2'
'x+1/4,y+3/4,-z+1/2'
'x,-y+3/4,-z+3/4'
'-x,y+3/4,z+3/4'
'-x+1/4,y+1/2,-z+3/4'
'x+1/4,-y+1/2,z+3/4'
'x+1/2,y,z+1/2'
'-x+1/2,-y,-z+1/2'
'-x+3/4,-y+1/4,z+1/2'
'x+3/4,y+1/4,-z+1/2'
'x+1/2,-y+1/4,-z+3/4'
'-x+1/2,y+1/4,z+3/4'
'-x+3/4,y,-z+3/4'
'x+3/4,-y,z+3/4'
'x+1/2,y+1/2,z'
'-x+1/2,-y+1/2,-z'
'-x+3/4,-y+3/4,z'
'x+3/4,y+3/4,-z'
'x+1/2,-y+3/4,-z+1/4'
'-x+1/2,y+3/4,z+1/4'
'-x+3/4,y+1/2,-z+1/4'
'x+3/4,-y+1/2,z+1/4'
loop_
_atom_site_label
_atom_site_fract_x
_atom_site_fract_y
_atom_site_fract_z
Cs1 0.125 0.125 0.303
Tm1 0.125 0.125 0.125
Ge1 0.125 0.125 0.625
O1 0.087 0.297 0.838
```

---

(7)
Below is crystalline Cs3U2Ge2O11 at its relaxed geometry, with properties calculated at the GGA-PBE level.

ΔE_f (raw): -234.4 kJ per mole of atoms

Structure (CIF):
```
data_Cs3U2Ge2O11
_chemical_formula_sum 'Cs12 U8 Ge8 O44'
_symmetry_space_group_name_H-M 'P 1 21/c 1'
_symmetry_Int_Tables_number 14
_symmetry_space_group_name_Hall '-P 2ybc'
_cell_length_a 7.194
_cell_length_b 12.855
_cell_length_c 16.026
_cell_angle_alpha 90.00
_cell_angle_beta 105.10
_cell_angle_gamma 90.00
loop_
_atom_site_label
_atom_site_fract_x
_atom_site_fract_y
_atom_site_fract_z
Cs1 0.007 0.170 0.427
Cs2 0.444 0.644 0.327
Cs3 0.486 0.152 0.913
U1 0.000 0.000 0.000
U2 0.150 0.559 0.759
U3 0.500 0.000 0.500
Ge1 0.048 0.204 0.162
Ge2 0.303 0.083 0.674
O1 0.074 0.586 0.629
O2 0.086 0.644 0.434
O3 0.095 0.725 0.783
O4 0.157 0.035 0.739
O5 0.182 0.110 0.233
O6 0.214 0.208 0.630
O7 0.239 0.529 0.886
O8 0.258 0.045 0.023
O9 0.301 0.503 0.088
O10 0.457 0.599 0.761
O11 0.462 0.144 0.487
```

---

(8)
Below is crystalline CsUGeO6 at its relaxed geometry, with properties calculated at the GGA-PBE level.

ΔE_f (raw): -198.6 kJ per mole of atoms

Structure (CIF):
```
data_CsUGeO6
_chemical_formula_sum 'Cs1 U1 Ge1 O6'
_symmetry_space_group_name_H-M 'P 3 1 2'
_symmetry_Int_Tables_number 149
_symmetry_space_group_name_Hall 'P 3 2'
_cell_length_a 5.3735
_cell_length_b 5.3735
_cell_length_c 6.8327
_cell_angle_alpha 90.00
_cell_angle_beta 90.00
_cell_angle_gamma 120.00
loop_
_atom_site_label
_atom_site_fract_x
_atom_site_fract_y
_atom_site_fract_z
Cs1 0.0000 0.0000 0.0000
U1 0.3333 0.6667 0.5000
Ge1 0.6667 0.3333 0.5000
O1 0.3909 0.0212 0.6606
```